Entry 1:
First-principles (GGA-PBE) data for CsZnGa2 after structural relaxation, as listed in the Alexandria database. Values from VASP.

```
&SYSTEM
  ibrav = 0, nat = 4, ntyp = 3
/
ATOMIC_SPECIES
Ga 69.72 Ga.upf
Zn 65.41 Zn.upf
Cs 132.91 Cs.upf
CELL_PARAMETERS angstrom
-0.393 -2.444 -2.490
3.467 -0.550 -0.006
-0.948 -6.043 6.082
ATOMIC_POSITIONS angstrom
Ga -0.794 -5.058 5.091
Ga -0.155 -0.985 0.991
Zn 1.537 -1.497 -1.248
Cs 1.063 -4.519 1.793
```

Summary:
symmetry	P4/mmm
mass density	5.28	g cm⁻³
final energy	-1.950	eV per atom
total moment	0.0	μB per cell



Entry 2:
First-principles (GGA-PBE) data for CsZr2ZnGa after structural relaxation, as listed in the Alexandria database. Values from VASP.

```
&SYSTEM
  ibrav = 0, nat = 5, ntyp = 4
/
ATOMIC_SPECIES
Zn 65.41 Zn.upf
Ga 69.72 Ga.upf
Cs 132.91 Cs.upf
Zr 91.22 Zr.upf
CELL_PARAMETERS angstrom
-1.974 3.610 3.384
0.212 -3.154 3.489
4.943 1.616 1.160
ATOMIC_POSITIONS angstrom
Zn 0.000 0.000 0.000
Ga 0.106 -1.577 1.744
Cs 1.590 1.036 4.017
Zr 2.471 0.808 0.580
Zr -0.987 1.805 1.692
```

Summary:
symmetry	P4/mmm
mass density	5.60	g cm⁻³
final energy	-3.586	eV per atom
total moment	0.0	μB per cell